La4Sm3TmSe8: relaxed, PBE-GGA.

## Properties
- ΔE_f (raw): -1.890 eV/atom
- DFT total energy: -6.028 eV per atom
- Density: 7.04 g/cm3

The structure in CIF format:
```
data_La4Sm3TmSe8
_chemical_formula_sum 'La4 Sm3 Tm1 Se8'
_space_group_name_H-M_alt 'P 1'
_space_group_IT_number 1
_cell_length_a 8.464
_cell_length_b 8.464
_cell_length_c 8.464
_cell_angle_alpha 59.77
_cell_angle_beta 59.77
_cell_angle_gamma 59.77
loop_
_space_group_symop_operation_xyz
'x,y,z'
loop_
_atom_site_label
_atom_site_fract_x
_atom_site_fract_y
_atom_site_fract_z
La1 0.000 0.000 0.000
La2 0.000 0.500 0.500
La3 0.500 0.000 0.500
La4 0.500 0.500 0.000
Sm1 0.000 0.000 0.500
Sm2 0.000 0.500 0.000
Sm3 0.500 0.000 0.000
Tm1 0.500 0.500 0.500
Se1 0.247 0.247 0.247
Se2 0.252 0.741 0.741
Se3 0.259 0.259 0.748
Se4 0.259 0.748 0.259
Se5 0.741 0.252 0.741
Se6 0.741 0.741 0.252
Se7 0.748 0.259 0.259
Se8 0.753 0.753 0.753
```

=====

Ac2Pm4PrTm: relaxed, PBE-GGA.

## Properties
- DFT total energy: -4.522 eV per atom
- ΔH_f (0 K): 0.037 eV per atom
- Density: 7.64 g/cm3

The structure in CIF format:
```
data_Ac2Pm4PrTm
_chemical_formula_sum 'Ac4 Pm8 Pr2 Tm2'
_space_group_name_H-M_alt 'P 1'
_space_group_IT_number 1
_cell_length_a 7.470
_cell_length_b 7.487
_cell_length_c 10.441
_cell_angle_alpha 89.88
_cell_angle_beta 89.99
_cell_angle_gamma 89.96
loop_
_space_group_symop_operation_xyz
'x,y,z'
loop_
_atom_site_label
_atom_site_fract_x
_atom_site_fract_y
_atom_site_fract_z
Ac1 0.000 0.000 0.000
Ac2 0.000 0.000 0.500
Ac3 0.000 0.500 0.000
Ac4 0.500 0.000 0.000
Pm1 0.254 0.258 0.745
Pm2 0.254 0.743 0.255
Pm3 0.255 0.258 0.255
Pm4 0.255 0.742 0.745
Pm5 0.745 0.258 0.255
Pm6 0.745 0.742 0.745
Pm7 0.746 0.257 0.745
Pm8 0.746 0.742 0.255
Pr1 0.500 0.000 0.500
Pr2 0.500 0.500 0.500
Tm1 0.000 0.500 0.500
Tm2 0.500 0.500 0.000
```

=====

La2HfN: relaxed, PBE-GGA.

## Properties
- ΔE_f (raw): -0.277 eV/atom
- DFT total energy: -7.310 eV per atom
- Density: 7.98 g/cm3

The structure in CIF format:
```
data_La2HfN
_chemical_formula_sum 'La2 Hf1 N1'
_space_group_name_H-M_alt 'P 1'
_space_group_IT_number 1
_cell_length_a 9.732
_cell_length_b 9.732
_cell_length_c 9.732
_cell_angle_alpha 20.38
_cell_angle_beta 20.38
_cell_angle_gamma 20.38
loop_
_space_group_symop_operation_xyz
'x,y,z'
loop_
_atom_site_label
_atom_site_fract_x
_atom_site_fract_y
_atom_site_fract_z
La1 0.114 0.114 0.114
La2 0.886 0.886 0.886
Hf1 0.000 0.000 0.000
N1 0.500 0.500 0.500
```

=====

Th5Ti3H12: relaxed, PBE-GGA.

## Properties
- DFT total energy: -5.245 eV per atom
- Density: 8.34 g/cm3

The structure in CIF format:
```
data_Th5Ti3H12
_chemical_formula_sum 'Th20 Ti12 H48'
_space_group_name_H-M_alt 'P 1'
_space_group_IT_number 1
_cell_length_a 11.084
_cell_length_b 11.084
_cell_length_c 11.084
_cell_angle_alpha 109.47
_cell_angle_beta 109.47
_cell_angle_gamma 109.47
loop_
_space_group_symop_operation_xyz
'x,y,z'
loop_
_atom_site_label
_atom_site_fract_x
_atom_site_fract_y
_atom_site_fract_z
Th1 0.000 0.000 0.000
Th2 0.000 0.000 0.500
Th3 0.000 0.500 0.000
Th4 0.000 0.500 0.500
Th5 0.125 0.750 0.875
Th6 0.125 0.875 0.250
Th7 0.250 0.125 0.875
Th8 0.250 0.625 0.375
Th9 0.375 0.250 0.625
Th10 0.375 0.625 0.750
Th11 0.500 0.000 0.000
Th12 0.500 0.000 0.500
Th13 0.500 0.500 0.000
Th14 0.500 0.500 0.500
Th15 0.625 0.375 0.250
Th16 0.625 0.750 0.375
Th17 0.750 0.375 0.625
Th18 0.750 0.875 0.125
Th19 0.875 0.125 0.750
Th20 0.875 0.250 0.125
Ti1 0.125 0.250 0.375
Ti2 0.125 0.375 0.750
Ti3 0.250 0.375 0.125
Ti4 0.250 0.875 0.625
Ti5 0.375 0.125 0.250
Ti6 0.375 0.750 0.125
Ti7 0.625 0.250 0.875
Ti8 0.625 0.875 0.750
Ti9 0.750 0.125 0.375
Ti10 0.750 0.625 0.875
Ti11 0.875 0.625 0.250
Ti12 0.875 0.750 0.625
H1 0.046 0.729 0.646
H2 0.046 0.817 0.400
H3 0.082 0.229 0.183
H4 0.082 0.354 0.900
H5 0.100 0.683 0.454
H6 0.100 0.918 0.646
H7 0.146 0.229 0.546
H8 0.146 0.418 0.600
H9 0.183 0.082 0.229
H10 0.183 0.600 0.954
H11 0.229 0.183 0.082
H12 0.229 0.546 0.146
H13 0.271 0.354 0.954
H14 0.271 0.418 0.317
H15 0.317 0.271 0.418
H16 0.317 0.546 0.900
H17 0.354 0.900 0.082
H18 0.354 0.954 0.271
H19 0.400 0.046 0.817
H20 0.400 0.854 0.582
H21 0.418 0.317 0.271
H22 0.418 0.600 0.146
H23 0.454 0.100 0.683
H24 0.454 0.854 0.771
H25 0.546 0.146 0.229
H26 0.546 0.900 0.317
H27 0.582 0.400 0.854
H28 0.582 0.683 0.729
H29 0.600 0.146 0.418
H30 0.600 0.954 0.183
H31 0.646 0.046 0.729
H32 0.646 0.100 0.918
H33 0.683 0.454 0.100
H34 0.683 0.729 0.582
H35 0.729 0.582 0.683
H36 0.729 0.646 0.046
H37 0.771 0.454 0.854
H38 0.771 0.817 0.918
H39 0.817 0.400 0.046
H40 0.817 0.918 0.771
H41 0.854 0.582 0.400
H42 0.854 0.771 0.454
H43 0.900 0.082 0.354
H44 0.900 0.317 0.546
H45 0.918 0.646 0.100
H46 0.918 0.771 0.817
H47 0.954 0.183 0.600
H48 0.954 0.271 0.354
```

=====

NbCrSb2Mo: relaxed, PBE-GGA.

## Properties
- ΔE_f (raw): 1.134 eV/atom
- DFT total energy: -6.619 eV per atom
- Density: 7.20 g/cm3

The structure in CIF format:
```
data_NbCrSb2Mo
_chemical_formula_sum 'Nb1 Cr1 Sb2 Mo1'
_space_group_name_H-M_alt 'P 1'
_space_group_IT_number 1
_cell_length_a 4.963
_cell_length_b 4.963
_cell_length_c 4.538
_cell_angle_alpha 90.00
_cell_angle_beta 90.00
_cell_angle_gamma 90.00
loop_
_space_group_symop_operation_xyz
'x,y,z'
loop_
_atom_site_label
_atom_site_fract_x
_atom_site_fract_y
_atom_site_fract_z
Nb1 0.000 0.000 0.000
Cr1 0.000 0.000 0.500
Sb1 0.000 0.500 0.500
Sb2 0.500 0.000 0.500
Mo1 0.500 0.500 0.000
```

=====

Na2PuTiTe4: relaxed, PBE-GGA.

## Properties
- ΔE_f (raw): -0.889 eV/atom
- DFT total energy: -5.567 eV per atom
- Density: 5.89 g/cm3

The structure in CIF format:
```
data_Na2PuTiTe4
_chemical_formula_sum 'Na2 Pu1 Ti1 Te4'
_space_group_name_H-M_alt 'P 1'
_space_group_IT_number 1
_cell_length_a 7.376
_cell_length_b 4.265
_cell_length_c 7.982
_cell_angle_alpha 90.00
_cell_angle_beta 107.86
_cell_angle_gamma 90.00
loop_
_space_group_symop_operation_xyz
'x,y,z'
loop_
_atom_site_label
_atom_site_fract_x
_atom_site_fract_y
_atom_site_fract_z
Na1 0.000 0.000 0.000
Na2 0.500 0.500 0.000
Pu1 0.000 0.500 0.500
Ti1 0.500 0.000 0.500
Te1 0.264 0.000 0.729
Te2 0.281 0.500 0.283
Te3 0.719 0.500 0.717
Te4 0.736 0.000 0.271
```

=====

Ta4BeIn: relaxed, PBE-GGA.

## Properties
- DFT total energy: -8.306 eV per atom
- ΔH_f (0 K): 0.673 eV per atom
- Density: 12.09 g/cm3

The structure in CIF format:
```
data_Ta4BeIn
_chemical_formula_sum 'Ta4 Be1 In1'
_space_group_name_H-M_alt 'P 1'
_space_group_IT_number 1
_cell_length_a 5.480
_cell_length_b 5.480
_cell_length_c 5.480
_cell_angle_alpha 60.00
_cell_angle_beta 60.00
_cell_angle_gamma 60.00
loop_
_space_group_symop_operation_xyz
'x,y,z'
loop_
_atom_site_label
_atom_site_fract_x
_atom_site_fract_y
_atom_site_fract_z
Ta1 0.124 0.124 0.124
Ta2 0.124 0.124 0.627
Ta3 0.124 0.627 0.124
Ta4 0.627 0.124 0.124
Be1 0.750 0.750 0.750
In1 0.500 0.500 0.500
```

=====

CdIn2Au: relaxed, PBE-GGA.

## Properties
- DFT total energy: -2.470 eV per atom
- ΔH_f (0 K): -0.052 eV per atom
- Density: 9.37 g/cm3

The structure in CIF format:
```
data_CdIn2Au
_chemical_formula_sum 'Cd1 In2 Au1'
_space_group_name_H-M_alt 'P 1'
_space_group_IT_number 1
_cell_length_a 4.838
_cell_length_b 4.838
_cell_length_c 6.159
_cell_angle_alpha 101.69
_cell_angle_beta 101.69
_cell_angle_gamma 42.77
loop_
_space_group_symop_operation_xyz
'x,y,z'
loop_
_atom_site_label
_atom_site_fract_x
_atom_site_fract_y
_atom_site_fract_z
Cd1 0.000 0.000 0.000
In1 0.244 0.244 0.739
In2 0.482 0.482 0.437
Au1 0.741 0.741 0.218
```

=====

Np2Ni21P6: relaxed, PBE-GGA.

## Properties
- DFT total energy: -6.564 eV per atom
- ΔH_f (0 K): -0.365 eV per atom
- Density: 8.90 g/cm3

The structure in CIF format:
```
data_Np2Ni21P6
_chemical_formula_sum 'Np2 Ni21 P6'
_space_group_name_H-M_alt 'P 1'
_space_group_IT_number 1
_cell_length_a 7.932
_cell_length_b 7.932
_cell_length_c 7.932
_cell_angle_alpha 60.00
_cell_angle_beta 60.00
_cell_angle_gamma 60.00
loop_
_space_group_symop_operation_xyz
'x,y,z'
loop_
_atom_site_label
_atom_site_fract_x
_atom_site_fract_y
_atom_site_fract_z
Np1 0.250 0.250 0.250
Np2 0.750 0.750 0.750
Ni1 0.000 0.000 0.000
Ni2 0.000 0.000 0.349
Ni3 0.000 0.000 0.651
Ni4 0.000 0.349 0.000
Ni5 0.000 0.349 0.651
Ni6 0.000 0.651 0.000
Ni7 0.000 0.651 0.349
Ni8 0.160 0.613 0.613
Ni9 0.349 0.000 0.000
Ni10 0.349 0.000 0.651
Ni11 0.349 0.651 0.000
Ni12 0.387 0.387 0.387
Ni13 0.387 0.387 0.840
Ni14 0.387 0.840 0.387
Ni15 0.613 0.160 0.613
Ni16 0.613 0.613 0.160
Ni17 0.613 0.613 0.613
Ni18 0.651 0.000 0.000
Ni19 0.651 0.000 0.349
Ni20 0.651 0.349 0.000
Ni21 0.840 0.387 0.387
P1 0.260 0.260 0.740
P2 0.260 0.740 0.260
P3 0.260 0.740 0.740
P4 0.740 0.260 0.260
P5 0.740 0.260 0.740
P6 0.740 0.740 0.260
```

=====

PmSm2Er2Sc2: relaxed, PBE-GGA.

## Properties
- DFT total energy: -4.959 eV per atom
- ΔH_f (0 K): 0.181 eV per atom
- Density: 6.66 g/cm3

The structure in CIF format:
```
data_PmSm2Er2Sc2
_chemical_formula_sum 'Pm1 Sm2 Er2 Sc2'
_space_group_name_H-M_alt 'P 1'
_space_group_IT_number 1
_cell_length_a 8.808
_cell_length_b 8.808
_cell_length_c 8.307
_cell_angle_alpha 116.50
_cell_angle_beta 116.50
_cell_angle_gamma 22.20
loop_
_space_group_symop_operation_xyz
'x,y,z'
loop_
_atom_site_label
_atom_site_fract_x
_atom_site_fract_y
_atom_site_fract_z
Pm1 0.000 0.000 0.000
Sm1 0.428 0.428 0.586
Sm2 0.572 0.572 0.414
Er1 0.213 0.213 0.291
Er2 0.787 0.787 0.709
Sc1 0.347 0.347 0.104
Sc2 0.653 0.653 0.896
```

=====

Tb5Sm2Sc2: relaxed, PBE-GGA.

## Properties
- E above lowest polymorph: 150 meV/atom
- DFT total energy: -4.839 eV per atom
- ΔH_f (0 K): 0.189 eV per atom
- Density: 6.98 g/cm3

The structure in CIF format:
```
data_Tb5Sm2Sc2
_chemical_formula_sum 'Tb10 Sm4 Sc4'
_space_group_name_H-M_alt 'P 1'
_space_group_IT_number 1
_cell_length_a 10.231
_cell_length_b 10.231
_cell_length_c 10.231
_cell_angle_alpha 85.54
_cell_angle_beta 104.42
_cell_angle_gamma 145.97
loop_
_space_group_symop_operation_xyz
'x,y,z'
loop_
_atom_site_label
_atom_site_fract_x
_atom_site_fract_y
_atom_site_fract_z
Tb1 0.153 0.485 0.953
Tb2 0.153 0.700 0.168
Tb3 0.184 0.044 0.228
Tb4 0.184 0.456 0.640
Tb5 0.532 0.200 0.047
Tb6 0.532 0.985 0.832
Tb7 0.594 0.523 0.571
Tb8 0.816 0.544 0.360
Tb9 0.816 0.956 0.772
Tb10 0.952 0.023 0.429
Sm1 0.248 0.049 0.698
Sm2 0.351 0.549 0.302
Sm3 0.452 0.452 0.000
Sm4 0.452 0.952 0.500
Sc1 0.799 0.207 0.303
Sc2 0.799 0.996 0.092
Sc3 0.904 0.496 0.697
Sc4 0.904 0.707 0.908
```